1.
VASP calculation (PBE) on a relaxed Li2Sb2Rh crystal.

The value obtained for the uncorrected formation energy is -454 meV per atom. As for the energy above the most stable polymorph in this dataset: 0.00 kcal/mol of atoms. The calculation puts the density at 5.79 g/cm3. Its space group is P4/mbm.

The structure in extended XYZ format:
```
10
Lattice="6.780 0.000 0.000 0.000 6.780 0.000 0.000 0.000 4.492" Properties=species:S:1:pos:R:3 pbc="T T T"
Sb 2.387 5.777 0.000
Sb 4.394 1.003 0.000
Sb 1.003 2.387 0.000
Sb 5.777 4.394 0.000
Li 2.272 1.118 2.246
Li 5.663 2.272 2.246
Li 1.118 4.508 2.246
Li 4.508 5.663 2.246
Rh 3.390 3.390 0.000
Rh 0.000 0.000 0.000
```

=====

2.
VASP calculation (PBE) on a relaxed Li2SbRh crystal.

The value obtained for the uncorrected formation energy is -315 meV per atom. The calculation puts the density at 5.98 g/cm3. Its space group is P2/m.

The structure in extended XYZ format:
```
4
Lattice="4.485 0.000 0.000 0.000 3.071 -0.028 0.000 1.062 4.798" Properties=species:S:1:pos:R:3 pbc="T T T"
Li 0.000 0.114 0.101
Li 0.000 1.953 2.284
Sb 2.243 3.100 3.578
Rh 2.243 1.033 1.193
```

=====

3.
VASP calculation (PBE) on a relaxed Li2Sb2Rh crystal.

The value obtained for the uncorrected formation energy is -154 meV per atom. As for the energy above the most stable polymorph in this dataset: 6.92 kcal/mol of atoms. The calculation puts the density at 6.82 g/cm3. Its space group is P4/mbm.

The structure in extended XYZ format:
```
10
Lattice="6.699 0.000 0.000 0.000 6.699 0.000 0.000 0.000 3.909" Properties=species:S:1:pos:R:3 pbc="T T T"
Rh 0.000 0.000 0.000
Rh 3.350 3.350 0.000
Li 5.809 4.240 0.000
Li 4.240 0.890 0.000
Li 2.459 5.809 0.000
Li 0.890 2.459 0.000
Sb 2.162 1.188 1.955
Sb 1.188 4.538 1.955
Sb 4.538 5.511 1.955
Sb 5.511 2.162 1.955
```

=====

4.
VASP calculation (PBE) on a relaxed LiSb3Rh crystal.

The value obtained for the uncorrected formation energy is 160 meV per atom. As for the energy above the most stable polymorph in this dataset: 0.00 kcal/mol of atoms. The calculation puts the density at 5.55 g/cm3. Its space group is Pm-3m.

The structure in extended XYZ format:
```
5
Lattice="-0.181 4.418 2.773 -3.530 1.939 -3.320 -3.840 -1.991 2.921" Properties=species:S:1:pos:R:3 pbc="T T T"
Sb -1.920 -0.995 1.460
Sb -1.765 0.969 -1.660
Sb -0.091 2.209 1.386
Rh 0.000 0.000 0.000
Li -3.775 2.183 1.187
```

=====

5.
VASP calculation (PBE) on a relaxed Li2SbRh crystal.

The value obtained for the uncorrected formation energy is -297 meV per atom. The calculation puts the density at 6.05 g/cm3. Its space group is Cmmm.

The structure in extended XYZ format:
```
4
Lattice="-0.339 -4.715 -0.895 4.243 1.905 -1.230 1.095 -0.615 2.826" Properties=species:S:1:pos:R:3 pbc="T T T"
Rh 0.378 -2.665 0.966
Li 1.952 -1.405 -1.062
Li 0.000 0.000 0.000
Sb 2.669 0.645 0.798
```

=====

6.
VASP calculation (PBE) on a relaxed Li2SbRh crystal.

The value obtained for the uncorrected formation energy is -232 meV per atom. The calculation puts the density at 5.62 g/cm3. Its space group is I-42d.

The structure in extended XYZ format:
```
8
Lattice="-3.209 -0.045 2.116 0.629 -3.690 0.875 3.723 0.805 9.153" Properties=species:S:1:pos:R:3 pbc="T T T"
Rh 1.532 -2.376 5.762
Rh -1.290 -1.867 1.496
Li 0.871 -2.111 3.134
Li -0.944 -0.288 3.686
Li 1.836 -0.857 8.001
Li 0.526 -2.605 9.468
Sb 0.000 0.000 0.000
Sb -0.387 -0.554 6.383
```

=====

7.
VASP calculation (PBE) on a relaxed Li2SbRh crystal.

The value obtained for the uncorrected formation energy is 9 meV per atom. The calculation puts the density at 5.68 g/cm3. Its space group is R-3m.

The structure in extended XYZ format:
```
4
Lattice="9.051 0.005 0.003 8.548 2.975 0.003 8.548 1.447 2.599" Properties=species:S:1:pos:R:3 pbc="T T T"
Rh 6.537 1.107 0.651
Sb 19.610 3.321 1.954
Li 13.313 2.254 1.326
Li 25.906 4.387 2.581
```

=====

8.
VASP calculation (PBE) on a relaxed Li3SbRh crystal.

The value obtained for the uncorrected formation energy is 189 meV per atom. As for the energy above the most stable polymorph in this dataset: 0.00 kcal/mol of atoms. The calculation puts the density at 4.33 g/cm3. Its space group is Pm-3m.

The structure in extended XYZ format:
```
5
Lattice="-4.501 0.638 -0.132 -0.525 -4.101 -1.893 -0.385 -1.858 4.133" Properties=species:S:1:pos:R:3 pbc="T T T"
Li -2.250 0.319 -0.066
Li -0.192 -0.929 2.066
Li -0.263 -2.051 -0.947
Rh 0.000 0.000 0.000
Sb -2.705 -2.661 1.053
```

=====

9.
VASP calculation (PBE) on a relaxed LiSb3Rh5 crystal.

The value obtained for the uncorrected formation energy is -359 meV per atom. The calculation puts the density at 9.93 g/cm3. Its space group is P6_3/mcm.

The structure in extended XYZ format:
```
18
Lattice="5.655 0.000 0.000 0.000 6.742 -3.892 0.000 -0.001 7.782" Properties=species:S:1:pos:R:3 pbc="T T T"
Rh 2.828 2.246 3.891
Rh 4.241 4.433 2.558
Rh 1.414 4.433 -2.560
Rh 0.000 4.494 -0.001
Rh 2.828 4.494 -0.001
Rh 1.414 -0.001 5.118
Rh 0.000 2.246 3.891
Rh 1.414 2.308 1.332
Rh 4.241 2.308 -1.333
Rh 4.241 6.741 -1.228
Sb 1.414 0.000 2.552
Sb 4.241 2.210 1.276
Sb 4.241 4.531 -2.616
Sb 4.241 6.740 1.338
Sb 1.414 2.211 -1.277
Sb 1.414 4.530 2.614
Li 2.828 0.000 0.000
Li 0.000 0.000 0.000
```

=====

10.
VASP calculation (PBE) on a relaxed Li2SbRh crystal.

The value obtained for the uncorrected formation energy is -375 meV per atom. The calculation puts the density at 5.95 g/cm3. Its space group is P4mm.

The structure in extended XYZ format:
```
4
Lattice="-3.366 0.332 -0.417 -0.523 -2.575 2.170 -0.174 3.711 4.362" Properties=species:S:1:pos:R:3 pbc="T T T"
Rh -0.088 1.887 2.218
Li -1.988 -0.187 1.975
Li -0.002 0.047 0.055
Sb -2.071 1.577 4.048
```

=====

11.
VASP calculation (PBE) on a relaxed Li2SbRh crystal.

The value obtained for the uncorrected formation energy is -422 meV per atom. The calculation puts the density at 6.14 g/cm3. Its space group is Pmm2.

The structure in extended XYZ format:
```
4
Lattice="-4.070 -0.471 0.934 -0.003 -2.966 -1.511 1.148 -2.028 3.978" Properties=species:S:1:pos:R:3 pbc="T T T"
Sb -1.261 -4.203 1.837
Li 0.097 -2.771 -0.976
Li -1.839 -1.695 0.583
Rh 0.647 -2.257 1.680
```

=====

12.
VASP calculation (PBE) on a relaxed LiSc2SbRh crystal.

The value obtained for the uncorrected formation energy is -237 meV per atom. The calculation puts the density at 4.23 g/cm3. Its space group is P4/mmm.

The structure in extended XYZ format:
```
5
Lattice="-4.749 0.713 1.308 -0.563 -5.014 0.690 1.385 0.498 4.755" Properties=species:S:1:pos:R:3 pbc="T T T"
Sb -0.281 -2.507 0.345
Sc -2.375 0.356 0.654
Sc 0.692 0.249 2.377
Li -1.963 -1.901 3.376
Rh 0.000 0.000 0.000
```